1.
Density functional theory data (PBE) for a relaxed structure of CaBi2O5.

Excess energy over the best structure of this formula in the dataset in meV per atom: 37

Cell lengths 8.702, 8.702, 11.363 Å; angles 89.92, 89.92, 83.39 degrees
Fractional coordinates of all 48 atoms:
1 Ca 0.028 0.304 0.429
2 Ca 0.304 0.028 0.929
3 Ca 0.323 0.677 0.750
4 Ca 0.677 0.323 0.250
5 Ca 0.696 0.972 0.071
6 Ca 0.972 0.696 0.571
7 Bi 0.026 0.299 0.069
8 Bi 0.014 0.650 0.251
9 Bi 0.299 0.026 0.569
10 Bi 0.355 0.638 0.443
11 Bi 0.362 0.645 0.057
12 Bi 0.350 0.986 0.249
13 Bi 0.650 0.014 0.751
14 Bi 0.638 0.355 0.943
15 Bi 0.645 0.362 0.557
16 Bi 0.701 0.974 0.431
17 Bi 0.986 0.350 0.749
18 Bi 0.974 0.701 0.931
19 O 0.137 0.540 0.089
20 O 0.135 0.540 0.409
21 O 0.107 0.221 0.885
22 O 0.078 0.568 0.751
23 O 0.221 0.107 0.385
24 O 0.209 0.795 0.573
25 O 0.113 0.214 0.620
26 O 0.246 0.754 0.250
27 O 0.205 0.791 0.927
28 O 0.214 0.113 0.120
29 O 0.432 0.922 0.749
30 O 0.451 0.535 0.607
31 O 0.460 0.863 0.411
32 O 0.540 0.135 0.909
33 O 0.465 0.549 0.893
34 O 0.535 0.451 0.107
35 O 0.460 0.865 0.091
36 O 0.540 0.137 0.589
37 O 0.549 0.465 0.393
38 O 0.568 0.078 0.251
39 O 0.786 0.887 0.880
40 O 0.795 0.209 0.073
41 O 0.754 0.246 0.750
42 O 0.887 0.786 0.380
43 O 0.791 0.205 0.427
44 O 0.779 0.893 0.615
45 O 0.922 0.432 0.249
46 O 0.893 0.779 0.115
47 O 0.865 0.460 0.591
48 O 0.863 0.460 0.911

2.
Density functional theory data (PBE) for a relaxed structure of CaBi3O7.

Cell lengths 5.744, 11.130, 11.130 Å; angles 90.00, 90.00, 90.00 degrees
Fractional coordinates of all 44 atoms:
1 Ca 0.694 0.750 0.150
2 Ca 0.194 0.250 0.350
3 Ca 0.306 0.250 0.850
4 Ca 0.806 0.750 0.650
5 Bi 0.345 0.987 0.631
6 Bi 0.845 0.013 0.869
7 Bi 0.655 0.487 0.369
8 Bi 0.155 0.513 0.131
9 Bi 0.303 0.750 0.858
10 Bi 0.803 0.250 0.642
11 Bi 0.697 0.250 0.142
12 Bi 0.197 0.750 0.358
13 Bi 0.845 0.487 0.869
14 Bi 0.345 0.513 0.631
15 Bi 0.155 0.987 0.131
16 Bi 0.655 0.013 0.369
17 O 0.946 0.127 0.219
18 O 0.446 0.873 0.281
19 O 0.054 0.627 0.781
20 O 0.554 0.373 0.719
21 O 0.054 0.873 0.781
22 O 0.554 0.127 0.719
23 O 0.946 0.373 0.219
24 O 0.446 0.627 0.281
25 O 0.455 0.124 0.213
26 O 0.955 0.876 0.287
27 O 0.545 0.624 0.787
28 O 0.045 0.376 0.713
29 O 0.545 0.876 0.787
30 O 0.045 0.124 0.713
31 O 0.455 0.376 0.213
32 O 0.955 0.624 0.287
33 O 0.179 0.750 0.542
34 O 0.679 0.250 0.958
35 O 0.821 0.250 0.458
36 O 0.321 0.750 0.042
37 O 0.158 0.415 0.959
38 O 0.658 0.585 0.541
39 O 0.842 0.915 0.041
40 O 0.342 0.085 0.459
41 O 0.842 0.585 0.041
42 O 0.342 0.415 0.459
43 O 0.158 0.085 0.959
44 O 0.658 0.915 0.541

3.
Density functional theory data (PBE) for a relaxed structure of CaBi4O8.

Excess energy over the best structure of this formula in the dataset in meV per atom: 134

Cell lengths 6.940, 6.940, 6.940 Å; angles 61.68, 61.68, 61.68 degrees
Fractional coordinates of all 13 atoms:
1 Ca 0.500 0.500 0.500
2 Bi 0.500 0.000 0.500
3 Bi 0.000 0.500 0.500
4 Bi 0.500 0.500 0.000
5 Bi 0.000 0.000 0.000
6 O 0.751 0.283 0.751
7 O 0.249 0.249 0.717
8 O 0.249 0.717 0.249
9 O 0.717 0.249 0.249
10 O 0.271 0.271 0.271
11 O 0.729 0.729 0.729
12 O 0.283 0.751 0.751
13 O 0.751 0.751 0.283

| no. | calculated total energy (eV/atom) | density (g cm⁻³) |
| --- | --- | --- |
| 1 | -5.827 | 6.27 |
| 2 | -5.721 | 7.27 |
| 3 | -5.597 | 6.80 |